one:
The following is a DFT calculation (PBE) of an optimized crystal structure of Ba2SmCd.

Cell and atoms, written as POSCAR:
```
Ba2SmCd
1.0
-0.964 1.663 3.379
-3.364 -0.907 1.723
4.428 -9.351 8.103
Sm Cd Ba
1 1 2
Direct
0.000 0.000 0.000
0.500 0.500 0.500
0.095 0.095 0.716
0.905 0.905 0.284
```

Calculated values
- space group = R-3m


two:
The following is a DFT calculation (PBE) of an optimized crystal structure of Ba2SmCd.

Cell and atoms, written as POSCAR:
```
Ba2SmCd
1.0
4.107 0.000 0.000
0.000 4.107 0.000
0.000 0.000 9.982
Sm Ba Cd
1 2 1
Direct
0.500 0.500 0.500
0.000 0.000 0.781
0.000 0.000 0.219
0.500 0.500 0.000
```

Calculated values
- space group = P4/mmm


two takes first place; second place is 0.228 eV/atom up.


one:
The following is a DFT calculation (PBE) of an optimized crystal structure of Ba2Cd3Sn5.

Cell and atoms, written as POSCAR:
```
Ba2Cd3Sn5
1.0
-3.550 1.572 -3.548
-0.111 -4.847 -2.037
-8.399 -2.815 7.157
Sn Ba Cd
5 2 3
Direct
0.500 0.500 0.000
0.000 0.000 0.000
0.500 0.000 0.873
0.500 0.500 0.500
0.000 0.500 0.127
0.500 0.000 0.256
0.000 0.500 0.744
0.000 0.500 0.379
0.000 0.000 0.500
0.500 0.000 0.621
```

Calculated values
- space group = P-4m2


two:
The following is a DFT calculation (PBE) of an optimized crystal structure of Ba2Cd3Sn5.

Cell and atoms, written as POSCAR:
```
Ba2Cd3Sn5
1.0
6.765 0.000 2.559
2.780 9.214 2.873
0.068 0.261 10.040
Sn Cd Ba
10 6 4
Direct
0.750 0.500 0.500
0.495 0.755 0.755
0.617 0.748 0.018
0.005 0.245 0.245
0.883 0.982 0.252
0.383 0.252 0.982
0.250 0.500 0.500
0.117 0.018 0.748
0.995 0.755 0.755
0.505 0.245 0.245
0.250 0.000 0.000
0.628 0.497 0.247
0.750 0.000 0.000
0.128 0.247 0.497
0.872 0.753 0.503
0.372 0.503 0.753
0.124 0.626 0.126
0.624 0.126 0.626
0.876 0.374 0.874
0.376 0.874 0.374
```

Calculated values
- space group = Ibam


two takes first place; second place is 0.043 eV/atom up.


one:
The following is a DFT calculation (PBE) of an optimized crystal structure of Ba2Cd5Sn3.

Cell and atoms, written as POSCAR:
```
Ba2Cd5Sn3
1.0
6.438 0.000 2.436
2.767 9.223 2.414
-0.075 -0.159 9.926
Cd Sn Ba
10 6 4
Direct
0.631 0.740 0.998
0.369 0.260 0.002
0.131 0.998 0.740
0.869 0.002 0.260
0.750 0.500 0.500
0.492 0.258 0.258
0.008 0.742 0.742
0.508 0.742 0.742
0.250 0.500 0.500
0.992 0.258 0.258
0.250 0.000 0.000
0.124 0.236 0.517
0.750 0.000 0.000
0.624 0.517 0.236
0.876 0.764 0.483
0.376 0.483 0.764
0.877 0.368 0.878
0.377 0.878 0.368
0.123 0.632 0.122
0.623 0.122 0.632
```

Calculated values
- space group = Ibam


two:
The following is a DFT calculation (PBE) of an optimized crystal structure of Ba2Cd5Sn3.

Cell and atoms, written as POSCAR:
```
Ba2Cd5Sn3
1.0
0.000 2.579 4.266
-2.796 -3.532 2.135
10.129 -5.871 3.550
Cd Ba Sn
5 2 3
Direct
0.500 0.000 0.875
0.500 0.500 0.000
0.000 0.000 0.000
0.500 0.500 0.500
0.000 0.500 0.125
0.000 0.500 0.750
0.500 0.000 0.250
0.000 0.000 0.500
0.000 0.500 0.361
0.500 0.000 0.639
```

Calculated values
- space group = P-4m2


one takes first place; second place is 0.067 eV/atom up.


one:
The following is a DFT calculation (PBE) of an optimized crystal structure of Ba3CdSn.

Cell and atoms, written as POSCAR:
```
Ba3CdSn
1.0
5.170 0.617 -0.857
-1.159 9.546 -0.102
-3.292 -4.401 9.431
Ba Cd Sn
6 2 2
Direct
0.627 0.584 0.377
0.373 0.416 0.623
0.073 0.926 0.323
0.927 0.074 0.677
0.825 0.203 0.075
0.175 0.797 0.925
0.785 0.561 0.035
0.215 0.439 0.965
0.590 0.183 0.339
0.410 0.817 0.661
```

Calculated values
- space group = P2_1/m


two:
The following is a DFT calculation (PBE) of an optimized crystal structure of Ba3CdSn.

Cell and atoms, written as POSCAR:
```
Ba3CdSn
1.0
-4.706 -4.133 2.487
4.757 -3.399 3.352
-0.802 4.096 5.291
Sn Cd Ba
1 1 3
Direct
0.000 0.000 0.000
0.500 0.500 0.500
0.000 0.000 0.500
0.500 0.000 0.000
0.000 0.500 0.000
```

Calculated values
- space group = Pm-3m


one takes first place; second place is 0.337 eV/atom up.


one:
The following is a DFT calculation (PBE) of an optimized crystal structure of BaCdSn4.

Cell and atoms, written as POSCAR:
```
BaCdSn4
1.0
6.384 0.000 0.000
3.192 5.528 0.000
3.192 1.843 5.212
Sn Ba Cd
4 1 1
Direct
0.624 0.624 0.624
0.624 0.127 0.624
0.127 0.624 0.624
0.624 0.624 0.127
0.000 0.000 0.000
0.250 0.250 0.250
```

Calculated values
- space group = F-43m


two:
The following is a DFT calculation (PBE) of an optimized crystal structure of BaCdSn4.

Cell and atoms, written as POSCAR:
```
BaCdSn4
1.0
4.982 0.000 -1.690
0.000 5.287 0.000
-0.360 0.000 7.130
Sn Cd Ba
4 1 1
Direct
0.809 0.500 0.618
0.316 0.000 0.631
0.191 0.500 0.382
0.684 0.000 0.369
0.000 0.000 0.000
0.500 0.500 0.000
```

Calculated values
- space group = Cmmm


one takes first place; second place is 0.012 eV/atom up.


one:
The following is a DFT calculation (PBE) of an optimized crystal structure of Ba3Cd4Sn4.

Cell and atoms, written as POSCAR:
```
Ba3Cd4Sn4
1.0
5.077 0.000 -1.398
-0.874 7.064 -3.175
-0.087 0.008 9.606
Ba Sn Cd
3 4 4
Direct
0.000 0.500 0.000
0.128 0.128 0.255
0.872 0.872 0.745
0.500 0.187 0.000
0.500 0.813 0.000
0.782 0.282 0.564
0.218 0.718 0.436
0.666 0.858 0.332
0.334 0.526 0.668
0.666 0.474 0.332
0.334 0.142 0.668
```

Calculated values
- space group = Immm


two:
The following is a DFT calculation (PBE) of an optimized crystal structure of Ba3Cd4Sn4.

Cell and atoms, written as POSCAR:
```
Ba3Cd4Sn4
1.0
4.964 0.000 0.000
0.000 4.977 -0.004
-2.482 -2.499 14.573
Sn Cd Ba
4 4 3
Direct
0.450 0.450 0.901
0.193 0.697 0.386
0.807 0.303 0.614
0.550 0.550 0.099
0.095 0.596 0.191
0.905 0.404 0.809
0.750 0.747 0.499
0.250 0.253 0.501
0.650 0.151 0.299
0.000 0.000 0.000
0.350 0.849 0.701
```

Calculated values
- space group = C2/m


one takes first place; second place is 0.006 eV/atom up.


one:
The following is a DFT calculation (PBE) of an optimized crystal structure of BaCd3Sn.

Cell and atoms, written as POSCAR:
```
BaCd3Sn
1.0
4.841 -0.015 -0.001
-0.014 4.841 -0.002
2.409 2.408 6.276
Sn Cd Ba
1 3 1
Direct
0.014 0.818 0.676
0.153 0.455 0.400
0.785 0.589 0.136
0.652 0.957 0.400
0.404 0.207 0.898
```

Calculated values
- space group = Cm


two:
The following is a DFT calculation (PBE) of an optimized crystal structure of BaCd3Sn.

Cell and atoms, written as POSCAR:
```
BaCd3Sn
1.0
5.693 0.000 0.000
0.000 5.693 0.000
0.000 0.000 5.693
Cd Ba Sn
3 1 1
Direct
0.500 0.000 0.000
0.000 0.500 0.000
0.000 0.000 0.500
0.500 0.500 0.500
0.000 0.000 0.000
```

Calculated values
- space group = Pm-3m


three:
The following is a DFT calculation (PBE) of an optimized crystal structure of BaCd3Sn.

Cell and atoms, written as POSCAR:
```
BaCd3Sn
1.0
6.239 0.000 0.000
0.000 6.239 0.000
0.000 0.000 6.239
Cd Ba Sn
3 1 1
Direct
0.000 0.000 0.500
0.500 0.000 0.000
0.000 0.500 0.000
0.000 0.000 0.000
0.500 0.500 0.500
```

Calculated values
- space group = Pm-3m


one takes first place; second place is 0.377 eV/atom up.


one:
The following is a DFT calculation (PBE) of an optimized crystal structure of BaSr4Cd.

Cell and atoms, written as POSCAR:
```
BaSr4Cd
1.0
4.199 0.000 0.000
0.000 4.199 0.000
0.000 0.000 16.676
Sr Ba Cd
4 1 1
Direct
0.500 0.500 0.802
0.000 0.000 0.615
0.000 0.000 0.385
0.500 0.500 0.198
0.000 0.000 0.000
0.500 0.500 0.500
```

Calculated values
- space group = P4/mmm


two:
The following is a DFT calculation (PBE) of an optimized crystal structure of BaSr4Cd.

Cell and atoms, written as POSCAR:
```
BaSr4Cd
1.0
-1.956 -3.609 -3.836
4.985 -2.589 -0.107
-3.333 -6.750 8.049
Sr Cd Ba
4 1 1
Direct
0.000 0.500 0.683
0.000 0.500 0.317
0.500 0.000 0.317
0.500 0.000 0.683
0.500 0.500 0.500
0.000 0.000 0.000
```

Calculated values
- space group = P4/mmm


three:
The following is a DFT calculation (PBE) of an optimized crystal structure of BaSr4Cd.

Cell and atoms, written as POSCAR:
```
BaSr4Cd
1.0
4.900 -4.386 4.095
-0.883 -0.669 7.668
-2.421 -6.697 3.051
Ba Sr Cd
1 4 1
Direct
0.750 0.750 0.750
0.375 0.375 0.876
0.375 0.876 0.375
0.876 0.375 0.375
0.375 0.375 0.375
0.000 0.000 0.000
```

Calculated values
- space group = F-43m


one takes first place; second place is 0.214 eV/atom up.